# Ce3P4Ir2 | Alexandria | GGA-PBE | optimized geometry
data_Ce3P4Ir2
_space_group_name_H-M_alt 'P 1'
_space_group_IT_number 1
_cell_length_a 6.268
_cell_length_b 6.268
_cell_length_c 8.443
_cell_angle_alpha 117.80
_cell_angle_beta 117.80
_cell_angle_gamma 37.75
loop_
_space_group_symop_operation_xyz
'x,y,z'
loop_
_atom_site_label
_atom_site_type_symbol
_atom_site_fract_x
_atom_site_fract_y
_atom_site_fract_z
Ce1 Ce 0.000 0.000 0.000
Ce2 Ce 0.369 0.369 0.275
Ce3 Ce 0.631 0.631 0.725
P1 P 0.088 0.088 0.390
P2 P 0.314 0.314 0.902
P3 P 0.686 0.686 0.098
P4 P 0.912 0.912 0.610
Ir1 Ir 0.319 0.319 0.628
Ir2 Ir 0.681 0.681 0.372
# - energy above the lowest structure with this stoichiometry (kJ/mol of atoms) = 0.00
# - SG = C2/m, No. 12
# - DOS at the Fermi energy (states/eV/atom) = 1.08
# - total magnetic moment (μB per cell) = 0.01

=====

# CeP2Ir5 | Alexandria | GGA-PBE | optimized geometry
data_CeP2Ir5
_space_group_name_H-M_alt 'P 1'
_space_group_IT_number 1
_cell_length_a 6.136
_cell_length_b 6.136
_cell_length_c 6.136
_cell_angle_alpha 142.41
_cell_angle_beta 112.00
_cell_angle_gamma 80.39
loop_
_space_group_symop_operation_xyz
'x,y,z'
loop_
_atom_site_label
_atom_site_type_symbol
_atom_site_fract_x
_atom_site_fract_y
_atom_site_fract_z
Ce1 Ce 0.000 0.000 0.000
P1 P 0.253 0.753 0.500
P2 P 0.747 0.247 0.500
Ir1 Ir 0.149 0.355 0.794
Ir2 Ir 0.439 0.645 0.794
Ir3 Ir 0.500 0.000 0.500
Ir4 Ir 0.561 0.355 0.206
Ir5 Ir 0.851 0.645 0.206
# - total energy (eV per atom) = -8.3295
# - SG = Immm, No. 71
# - DOS at the Fermi energy (states/eV/atom) = 0.40
# - total magnetic moment (μB per cell) = 0.00

=====

# CeP2Ir | Alexandria | GGA-PBE | optimized geometry
data_CeP2Ir
_space_group_name_H-M_alt 'P 1'
_space_group_IT_number 1
_cell_length_a 8.007
_cell_length_b 8.007
_cell_length_c 4.386
_cell_angle_alpha 90.00
_cell_angle_beta 90.00
_cell_angle_gamma 149.34
loop_
_space_group_symop_operation_xyz
'x,y,z'
loop_
_atom_site_label
_atom_site_type_symbol
_atom_site_fract_x
_atom_site_fract_y
_atom_site_fract_z
Ce1 Ce 0.104 0.896 0.750
Ce2 Ce 0.896 0.104 0.250
P1 P 0.252 0.748 0.250
P2 P 0.470 0.530 0.750
P3 P 0.530 0.470 0.250
P4 P 0.748 0.252 0.750
Ir1 Ir 0.316 0.684 0.750
Ir2 Ir 0.684 0.316 0.250
# - energy above the lowest structure with this stoichiometry (kJ/mol of atoms) = 0.00
# - SG = Cmcm, No. 63
# - DOS at the Fermi energy (states/eV/atom) = 0.92
# - total magnetic moment (μB per cell) = 0.71

=====

# Ce2P3Ir | Alexandria | GGA-PBE | optimized geometry
data_Ce2P3Ir
_space_group_name_H-M_alt 'P 1'
_space_group_IT_number 1
_cell_length_a 8.461
_cell_length_b 8.421
_cell_length_c 5.586
_cell_angle_alpha 71.06
_cell_angle_beta 70.30
_cell_angle_gamma 38.65
loop_
_space_group_symop_operation_xyz
'x,y,z'
loop_
_atom_site_label
_atom_site_type_symbol
_atom_site_fract_x
_atom_site_fract_y
_atom_site_fract_z
Ce1 Ce 0.240 0.760 0.240
Ce2 Ce 0.250 0.250 0.250
Ce3 Ce 0.750 0.750 0.750
Ce4 Ce 0.760 0.240 0.760
P1 P 0.146 0.678 0.854
P2 P 0.184 0.184 0.816
P3 P 0.322 0.854 0.678
P4 P 0.678 0.146 0.322
P5 P 0.816 0.816 0.184
P6 P 0.854 0.322 0.146
Ir1 Ir 0.342 0.342 0.658
Ir2 Ir 0.658 0.658 0.342
# - total energy (eV per atom) = -7.2119
# - SG = Fmmm, No. 69
# - DOS at the Fermi energy (states/eV/atom) = 1.17
# - total magnetic moment (μB per cell) = 1.10